The following is a GGA+U calculation of a relaxed Zn3Co4PbO12 crystal, from the Open Quantum Materials Database.

Cell: 6.247 6.247 6.247 Å, 109.47 109.47 109.47°
Fractional coordinates of all 20 atoms:
Zn (0.000, 0.500, 0.500)
Zn (0.500, 0.000, 0.500)
Zn (0.500, 0.500, 0.000)
Co (0.000, 0.000, 0.500)
Co (0.000, 0.500, 0.000)
Co (0.500, 0.000, 0.000)
Co (0.500, 0.500, 0.500)
Pb (0.000, 0.000, 0.000)
O (0.113, 0.296, 0.817)
O (0.183, 0.480, 0.296)
O (0.183, 0.887, 0.704)
O (0.296, 0.183, 0.480)
O (0.296, 0.817, 0.113)
O (0.480, 0.296, 0.183)
O (0.520, 0.704, 0.817)
O (0.704, 0.183, 0.887)
O (0.704, 0.817, 0.520)
O (0.817, 0.113, 0.296)
O (0.817, 0.520, 0.704)
O (0.887, 0.704, 0.183)

Results
SG: Im-3
Spin magnetization (Bohr magnetons per cell): 2.00
VASP energy (eV per cell): -104.0